A plane-wave DFT calculation with PBE was carried out for an optimized crystal structure of PaNiSe.

Formation energy without anion corrections (meV/atom): -701
Magnetic moment (μB per formula unit): 0.0
Relative energy among the computed polymorphs (eV/atom): 0.068

Unit cell a=3.688 b=3.688 c=8.830 alpha=90.00 beta=90.00 gamma=90.00
Atoms (fractional coordinates):
Ni 0.000 0.500 0.566
Ni 0.500 0.000 0.434
Pa 0.000 0.500 0.271
Pa 0.500 0.000 0.729
Se 0.500 0.000 0.127
Se 0.000 0.500 0.873